# 1
Material: NaHfHg2
Method: DFT, PBE
State: relaxed

a b c (Å): 4.974 4.974 4.974
angles (deg): 60.00 60.00 60.00
Fractional positions:
Hg 0.750 0.750 0.750
Hg 0.250 0.250 0.250
Na 0.000 0.000 0.000
Hf 0.500 0.500 0.500

## Properties
V   87 Å³/cell
E   -2.93 eV per atom


# 2
Material: NaHfHg2
Method: DFT, PBE
State: relaxed

a b c (Å): 3.201 3.201 11.395
angles (deg): 81.93 81.93 60.00
Each line ends with the local moment (μB).
Fractional positions:
Hf 0.000 0.000 0.000  0.32
Hg 0.912 0.912 0.265  0.03
Hg 0.088 0.088 0.735  0.03
Na 0.500 0.500 0.500  0.00

## Properties
V   100 Å³/cell
E   -2.73 eV per atom


# 3
Material: NaHfHg2
Method: DFT, PBE
State: relaxed

a b c (Å): 3.198 5.245 5.245
angles (deg): 90.00 90.00 90.00
Fractional positions:
Hf 0.500 0.500 0.500
Hg 0.000 0.000 0.500
Hg 0.000 0.500 0.000
Na 0.500 0.000 0.000

## Properties
V   88 Å³/cell
E   -3.04 eV per atom


# 4
Material: NaHfHg2
Method: DFT, PBE
State: relaxed

a b c (Å): 3.249 3.249 8.615
angles (deg): 90.00 90.00 90.00
Fractional positions:
Hf 0.500 0.500 0.000
Hg 0.000 0.000 0.233
Hg 0.000 0.000 0.767
Na 0.500 0.500 0.500

## Properties
V   91 Å³/cell
E   -3.01 eV per atom


# 5
Material: NaHfHg2
Method: DFT, PBE
State: relaxed

a b c (Å): 7.730 7.730 6.430
angles (deg): 53.05 53.05 90.00
Fractional positions:
Na 0.250 0.750 0.500
Na 0.500 0.500 0.000
Hg 0.117 0.625 0.250
Hg 0.375 0.367 0.750
Hg 0.633 0.125 0.250
Hg 0.875 0.883 0.750
Hf 0.000 0.000 0.000
Hf 0.750 0.250 0.500

## Properties
V   202 Å³/cell
E   -2.63 eV per atom


# 6
Material: Na3HfHg
Method: DFT, PBE
State: relaxed

a b c (Å): 5.529 5.529 5.529
angles (deg): 90.00 90.00 90.00
Each line ends with the local moment (μB).
Fractional positions:
Hf 0.500 0.500 0.500  0.94
Hg 0.000 0.000 0.000  0.00
Na 0.000 0.500 0.000  0.00
Na 0.000 0.000 0.500  0.01
Na 0.500 0.000 0.000  -0.01

## Properties
V   169 Å³/cell
E   -1.94 eV per atom


# 7
Material: NaHfHg3
Method: DFT, PBE
State: relaxed

a b c (Å): 5.576 5.576 5.576
angles (deg): 90.00 90.00 90.00
Each line ends with the local moment (μB).
Fractional positions:
Hg 0.000 0.000 0.500  0.01
Hg 0.500 0.000 0.000  0.04
Hg 0.000 0.500 0.000  0.04
Na 0.500 0.500 0.500  0.00
Hf 0.000 0.000 0.000  0.35

## Properties
V   173 Å³/cell
E   -2.10 eV per atom


# 8
Material: Na3HfHg
Method: DFT, PBE
State: relaxed

a b c (Å): 6.311 6.311 6.311
angles (deg): 90.00 90.00 90.00
Each line ends with the local moment (μB).
Fractional positions:
Na 0.500 0.000 0.000  0.08
Na 0.000 0.000 0.500  0.05
Na 0.000 0.500 0.000  0.06
Hf 0.000 0.000 0.000  1.71
Hg 0.500 0.500 0.500  0.06

## Properties
V   251 Å³/cell
E   -1.62 eV per atom